## a
VASP calculation (meta-GGA SCAN) on a PBEsol-optimized structure of OsSeBr2.

Calculated values
* symmetry: No. 44
* N(E_F): 2.60 states/eV per cell
* crystal system: orthorhombic

Unit cell a=6.3129 b=6.3129 c=6.3129 alpha=151.39 beta=134.26 gamma=54.84
Fractional coordinates of all 4 atoms:
Os1 0.0000 0.0000 0.0000
Se1 0.8399 0.3399 0.5000
Br1 0.1954 0.6954 0.5000
Br2 0.5106 0.5106 0.0000

## b
VASP calculation (meta-GGA SCAN) on a PBEsol-optimized structure of OsSeBr2.

Calculated values
* symmetry: No. 160
* N(E_F): 3.18 states/eV per cell
* crystal system: trigonal

Unit cell a=7.9892 b=7.9892 c=7.9892 alpha=26.45 beta=26.45 gamma=26.45
Fractional coordinates of all 4 atoms:
Os1 0.0000 0.0000 0.0000
Se1 0.7160 0.7160 0.7160
Br1 0.2670 0.2670 0.2670
Br2 0.4847 0.4847 0.4847

Least stable of them? a.

## a
VASP calculation (meta-GGA SCAN) on a PBEsol-optimized structure of Si2OsBr.

Calculated values
* symmetry: No. 6
* N(E_F): 2.15 states/eV per cell
* crystal system: monoclinic

Unit cell a=3.9185 b=3.7418 c=5.4912 alpha=90.00 beta=91.38 gamma=90.00
Fractional coordinates of all 4 atoms:
Si1 0.0000 0.0000 0.0000
Si2 0.3896 0.5000 0.0061
Os1 0.5091 0.0000 0.7658
Br1 0.6298 0.5000 0.4394

## b
VASP calculation (meta-GGA SCAN) on a PBEsol-optimized structure of Si2OsBr.

Calculated values
* symmetry: No. 122
* N(E_F): 3.89 states/eV per cell
* crystal system: tetragonal

Unit cell a=6.9132 b=6.9132 c=6.9132 alpha=130.34 beta=130.34 gamma=72.86
Fractional coordinates of all 8 atoms:
Si1 0.0490 0.6250 0.9240
Si2 0.3750 0.2990 0.4240
Si3 0.7010 0.1250 0.0760
Si4 0.8750 0.9510 0.5760
Os1 0.0000 0.0000 0.0000
Os2 0.7500 0.2500 0.5000
Br1 0.2500 0.7500 0.5000
Br2 0.5000 0.5000 0.0000

## c
VASP calculation (meta-GGA SCAN) on a PBEsol-optimized structure of Si2OsBr.

Calculated values
* symmetry: No. 166
* N(E_F): 1.59 states/eV per cell
* crystal system: trigonal

Unit cell a=7.7384 b=7.7384 c=7.7384 alpha=23.65 beta=23.65 gamma=23.65
Fractional coordinates of all 4 atoms:
Si1 0.2392 0.2392 0.2392
Si2 0.7608 0.7608 0.7608
Os1 0.5000 0.5000 0.5000
Br1 0.0000 0.0000 0.0000

Least stable of them? b.

## a
VASP calculation (meta-GGA SCAN) on a PBEsol-optimized structure of SrOsBr2.

Calculated values
* symmetry: No. 216
* N(E_F): 4.71 states/eV per cell
* crystal system: cubic

Unit cell a=5.2501 b=5.2501 c=5.2501 alpha=60.00 beta=60.00 gamma=60.00
Fractional coordinates of all 4 atoms:
Sr1 0.0000 0.0000 0.0000
Os1 0.7500 0.7500 0.7500
Br1 0.2500 0.2500 0.2500
Br2 0.5000 0.5000 0.5000

## b
VASP calculation (meta-GGA SCAN) on a PBEsol-optimized structure of SrOsBr2.

Calculated values
* symmetry: No. 166
* crystal system: trigonal

Unit cell a=4.8608 b=4.8608 c=4.8608 alpha=68.58 beta=68.58 gamma=68.58
Fractional coordinates of all 4 atoms:
Sr1 0.0000 0.0000 0.0000
Os1 0.5000 0.5000 0.5000
Br1 0.2804 0.2804 0.2804
Br2 0.7196 0.7196 0.7196

## c
VASP calculation (meta-GGA SCAN) on a PBEsol-optimized structure of SrOsBr2.

Calculated values
* symmetry: No. 8
* N(E_F): 1.62 states/eV per cell
* crystal system: monoclinic

Unit cell a=8.4069 b=8.4069 c=3.6258 alpha=90.03 beta=90.03 gamma=23.03
Fractional coordinates of all 4 atoms:
Sr1 0.0000 0.0000 0.0000
Os1 0.3559 0.3559 0.4972
Br1 0.6084 0.6084 0.4999
Br2 0.8123 0.8123 0.9971

Least stable of them? a.

## a
VASP calculation (meta-GGA SCAN) on a PBEsol-optimized structure of SrOsBr.

Calculated values
* symmetry: No. 216
* N(E_F): 1.01 states/eV per cell
* crystal system: cubic

Unit cell a=4.8119 b=4.8119 c=4.8119 alpha=60.00 beta=60.00 gamma=60.00
Fractional coordinates of all 3 atoms:
Sr1 0.0000 0.0000 0.0000
Os1 0.5000 0.5000 0.5000
Br1 0.7500 0.7500 0.7500

## b
VASP calculation (meta-GGA SCAN) on a PBEsol-optimized structure of SrOsBr.

Calculated values
* symmetry: No. 187
* N(E_F): 3.27 states/eV per cell
* crystal system: hexagonal

Unit cell a=4.2681 b=4.2681 c=4.3836 alpha=90.00 beta=90.00 gamma=120.00
Fractional coordinates of all 3 atoms:
Sr1 0.0000 0.0000 0.0000
Os1 0.3333 0.6667 0.5000
Br1 0.6667 0.3333 0.5000

Least stable of them? a.